No. 1
Compound: NiHg3
Source: the Alexandria database
Functional: PBE
Structure: relaxed

a b c (Å): 5.071 3.925 5.946
angles (deg): 90.00 55.53 90.00
Sites, in units of the cell vectors:
Hg (0.894, 0.000, 0.952)
Hg (0.606, 0.000, 0.548)
Hg (0.250, 0.500, 0.250)
Ni (0.750, 0.500, 0.750)

Properties
uncorrected energy: -5.66 eV for the cell shown
DFT formation energy: 99 kJ/mol of formula units
magnetization: 0.0 Bohr magnetons per cell
polymorph energy (0 for the lowest one): 130 meV/atom

=====

No. 2
Compound: NiHg
Source: the Alexandria database
Functional: PBE
Structure: relaxed

a b c (Å): 9.355 9.355 3.324
angles (deg): 90.00 90.00 90.00
Sites, in units of the cell vectors:
Ni (0.391, 0.079, 0.000)
Ni (0.609, 0.921, 0.000)
Ni (0.921, 0.391, 0.000)
Ni (0.079, 0.609, 0.000)
Ni (0.891, 0.579, 0.500)
Ni (0.109, 0.421, 0.500)
Ni (0.421, 0.891, 0.500)
Ni (0.579, 0.109, 0.500)
Hg (0.187, 0.879, 0.000)
Hg (0.813, 0.121, 0.000)
Hg (0.121, 0.187, 0.000)
Hg (0.879, 0.813, 0.000)
Hg (0.687, 0.379, 0.500)
Hg (0.313, 0.621, 0.500)
Hg (0.621, 0.687, 0.500)
Hg (0.379, 0.313, 0.500)

Properties
uncorrected energy: -45.03 eV for the cell shown
DFT formation energy: 44 kJ/mol of formula units
magnetization: 0.0 Bohr magnetons per cell

=====

No. 3
Compound: Ni4Hg5
Source: the Alexandria database
Functional: PBE
Structure: relaxed

a b c (Å): 6.376 6.376 6.376
angles (deg): 96.36 96.36 141.13
Sites, in units of the cell vectors:
Ni (0.000, 0.359, 0.359)
Ni (0.000, 0.641, 0.641)
Ni (0.641, 0.000, 0.641)
Ni (0.359, 0.000, 0.359)
Hg (0.000, 0.000, 0.000)
Hg (0.674, 0.326, 0.000)
Hg (0.674, 0.674, 0.348)
Hg (0.326, 0.326, 0.652)
Hg (0.326, 0.674, 0.000)

Properties
uncorrected energy: -21.58 eV for the cell shown
DFT formation energy: 294 kJ/mol of formula units
magnetization: 0.0 Bohr magnetons per cell
polymorph energy (0 for the lowest one): 41 meV/atom